Here is crystalline LiEr2Te6Pb3 at its relaxed geometry from Alexandria via LeMat-Bulk. Energies are from PBE-GGA.

Symmetry ... C2/m
Density of states at the Fermi level ... 0.35 states/eV per atom
Formation energy (no corrections) ... -0.77 eV per atom
Magnetic moment ... 0.0000 μB per atom

abc: 10.142 10.142 9.163
angles: 104.80 104.80 25.26
Fractional positions:
1 Li 0.000 0.000 0.000
2 Er 0.335 0.335 0.662
3 Er 0.665 0.665 0.338
4 Te 0.167 0.167 0.105
5 Te 0.172 0.172 0.577
6 Te 0.494 0.494 0.761
7 Te 0.506 0.506 0.239
8 Te 0.828 0.828 0.423
9 Te 0.833 0.833 0.895
10 Pb 0.000 0.000 0.500
11 Pb 0.339 0.339 0.156
12 Pb 0.661 0.661 0.844